GdPuGe4 (PBE, relaxed); SG = F-43m, No. 216; ΔH_f (0 K) = -0.350 eV/atom; total magnetic moment = 13.609 μB per cell; crystal system = cubic; V = 20.67 Å³ per atom; E = -8.1636 eV/atom
1.0
0.000 3.958 3.958
3.958 0.000 3.958
3.958 3.958 0.000
Gd Pu Ge
1 1 4
Direct
0.000 0.000 0.000 Gd
0.250 0.250 0.250 Pu
0.126 0.625 0.625 Ge
0.625 0.126 0.625 Ge
0.625 0.625 0.126 Ge
0.625 0.625 0.625 Ge


VIrOsRu (PBE, relaxed); SG = Pmmm, No. 47; ΔH_f (0 K) = -0.238 eV/atom; total magnetic moment = 0.000 μB per cell; crystal system = orthorhombic; V = 14.01 Å³ per atom; E = -9.8590 eV/atom
1.0
3.803 0.000 0.000
0.000 3.826 0.000
0.000 0.000 3.852
V Ir Os Ru
1 1 1 1
Direct
0.000 0.000 0.000 V
0.500 0.500 0.000 Ir
0.000 0.500 0.500 Os
0.500 0.000 0.500 Ru